Entry 1:
Entry from OQMD via LeMat-Bulk: a geometry-optimized Tb6GaNi2 structure (PBE).

Summary:
Space-group type: Immm, No. 71

Lattice parameters (Å, degrees): 8.357 8.357 8.357 112.87 109.41 106.20
Fractional positions:
Tb 0.041 0.236 0.805
Tb 0.180 0.286 0.466
Tb 0.180 0.714 0.895
Tb 0.326 0.020 0.694
Tb 0.326 0.633 0.306
Tb 0.431 0.236 0.195
Tb 0.569 0.764 0.805
Tb 0.674 0.367 0.694
Tb 0.674 0.980 0.306
Tb 0.820 0.286 0.105
Tb 0.820 0.714 0.534
Tb 0.959 0.764 0.195
Ga 0.000 0.000 0.000
Ga 0.500 0.500 0.000
Ni 0.123 0.623 0.500
Ni 0.349 0.000 0.349
Ni 0.651 0.000 0.651
Ni 0.877 0.377 0.500

=====

Entry 2:
Entry from OQMD via LeMat-Bulk: a geometry-optimized Tb4Ga21Ni10 structure (PBE).

Summary:
Space-group type: C2/m, No. 12

Lattice parameters (Å, degrees): 10.653 10.653 15.490 124.43 124.43 22.15
Fractional positions:
Tb 0.120 0.120 0.334
Tb 0.230 0.230 0.823
Tb 0.770 0.770 0.177
Tb 0.880 0.880 0.666
Ga 0.006 0.006 0.091
Ga 0.065 0.065 0.795
Ga 0.117 0.117 0.554
Ga 0.200 0.200 0.002
Ga 0.248 0.248 0.294
Ga 0.298 0.298 0.497
Ga 0.374 0.374 0.806
Ga 0.386 0.386 0.296
Ga 0.399 0.399 0.003
Ga 0.460 0.460 0.632
Ga 0.500 0.500 0.500
Ga 0.540 0.540 0.368
Ga 0.601 0.601 0.997
Ga 0.614 0.614 0.704
Ga 0.626 0.626 0.194
Ga 0.702 0.702 0.503
Ga 0.752 0.752 0.706
Ga 0.800 0.800 0.998
Ga 0.883 0.883 0.446
Ga 0.935 0.935 0.205
Ga 0.994 0.994 0.909
Ni 0.024 0.024 0.606
Ni 0.132 0.132 0.103
Ni 0.250 0.250 0.614
Ni 0.347 0.347 0.111
Ni 0.498 0.498 0.814
Ni 0.502 0.502 0.186
Ni 0.653 0.653 0.889
Ni 0.750 0.750 0.386
Ni 0.868 0.868 0.897
Ni 0.976 0.976 0.394

=====

Entry 3:
Entry from OQMD via LeMat-Bulk: a geometry-optimized TbTmGa2Ni4 structure (PBE).

Summary:
Space-group type: P-6m2, No. 187

Lattice parameters (Å, degrees): 4.149 4.149 8.716 90.00 90.00 120.00
Fractional positions:
Tb 0.000 0.000 0.000
Tm 0.667 0.333 0.500
Ga 0.333 0.667 0.254
Ga 0.333 0.667 0.746
Ni 0.000 0.000 0.321
Ni 0.000 0.000 0.679
Ni 0.667 0.333 0.188
Ni 0.667 0.333 0.812

=====

Entry 4:
Entry from OQMD via LeMat-Bulk: a geometry-optimized TbYGa4Ni2 structure (PBE).

Summary:
Space-group type: Amm2, No. 38

Lattice parameters (Å, degrees): 6.700 4.106 10.182 90.00 90.00 90.00
Fractional positions:
Tb 0.000 0.000 0.000
Tb 0.000 0.500 0.500
Y 0.500 0.000 0.861
Y 0.500 0.500 0.361
Ga 0.196 0.000 0.284
Ga 0.196 0.500 0.784
Ga 0.304 0.000 0.578
Ga 0.304 0.500 0.078
Ga 0.696 0.000 0.578
Ga 0.696 0.500 0.078
Ga 0.804 0.000 0.284
Ga 0.804 0.500 0.784
Ni 0.000 0.000 0.718
Ni 0.000 0.500 0.218
Ni 0.500 0.000 0.143
Ni 0.500 0.500 0.643

=====

Entry 5:
Entry from OQMD via LeMat-Bulk: a geometry-optimized GaTc2Ni structure (PBE).

Summary:
Space-group type: F-43m, No. 216

Lattice parameters (Å, degrees): 6.028 6.028 6.028 90.00 90.00 90.00
Fractional positions:
Ga 0.000 0.000 0.000
Ga 0.000 0.500 0.500
Ga 0.500 0.000 0.500
Ga 0.500 0.500 0.000
Tc 0.000 0.000 0.500
Tc 0.000 0.500 0.000
Tc 0.250 0.250 0.250
Tc 0.250 0.750 0.750
Tc 0.500 0.000 0.000
Tc 0.500 0.500 0.500
Tc 0.750 0.250 0.750
Tc 0.750 0.750 0.250
Ni 0.250 0.250 0.750
Ni 0.250 0.750 0.250
Ni 0.750 0.250 0.250
Ni 0.750 0.750 0.750

=====

Entry 6:
Entry from OQMD via LeMat-Bulk: a geometry-optimized GaTcNi2 structure (PBE).

Summary:
Space-group type: F-43m, No. 216

Lattice parameters (Å, degrees): 5.872 5.872 5.872 90.00 90.00 90.00
Fractional positions:
Ga 0.000 0.000 0.000
Ga 0.000 0.500 0.500
Ga 0.500 0.000 0.500
Ga 0.500 0.500 0.000
Tc 0.250 0.250 0.250
Tc 0.250 0.750 0.750
Tc 0.750 0.250 0.750
Tc 0.750 0.750 0.250
Ni 0.000 0.000 0.500
Ni 0.000 0.500 0.000
Ni 0.250 0.250 0.750
Ni 0.250 0.750 0.250
Ni 0.500 0.000 0.000
Ni 0.500 0.500 0.500
Ni 0.750 0.250 0.250
Ni 0.750 0.750 0.750

=====

Entry 7:
Entry from OQMD via LeMat-Bulk: a geometry-optimized Ga2TcNi structure (PBE).

Summary:
Space-group type: F-43m, No. 216

Lattice parameters (Å, degrees): 6.037 6.037 6.037 90.00 90.00 90.00
Fractional positions:
Ga 0.000 0.000 0.000
Ga 0.000 0.500 0.500
Ga 0.250 0.250 0.250
Ga 0.250 0.750 0.750
Ga 0.500 0.000 0.500
Ga 0.500 0.500 0.000
Ga 0.750 0.250 0.750
Ga 0.750 0.750 0.250
Tc 0.250 0.250 0.750
Tc 0.250 0.750 0.250
Tc 0.750 0.250 0.250
Tc 0.750 0.750 0.750
Ni 0.000 0.000 0.500
Ni 0.000 0.500 0.000
Ni 0.500 0.000 0.000
Ni 0.500 0.500 0.500

=====

Entry 8:
Entry from OQMD via LeMat-Bulk: a geometry-optimized GaTcNi structure (PBE).

Summary:
Space-group type: F-43m, No. 216

Lattice parameters (Å, degrees): 5.779 5.779 5.779 90.00 90.00 90.00
Fractional positions:
Ga 0.000 0.000 0.000
Ga 0.000 0.500 0.500
Ga 0.500 0.000 0.500
Ga 0.500 0.500 0.000
Tc 0.250 0.250 0.250
Tc 0.250 0.750 0.750
Tc 0.750 0.250 0.750
Tc 0.750 0.750 0.250
Ni 0.000 0.000 0.500
Ni 0.000 0.500 0.000
Ni 0.500 0.000 0.000
Ni 0.500 0.500 0.500

=====

Entry 9:
Entry from OQMD via LeMat-Bulk: a geometry-optimized GaTcNiW structure (PBE).

Summary:
Space-group type: F-43m, No. 216

Lattice parameters (Å, degrees): 6.084 6.084 6.084 90.00 90.00 90.00
Fractional positions:
Ga 0.000 0.000 0.000
Ga 0.000 0.500 0.500
Ga 0.500 0.000 0.500
Ga 0.500 0.500 0.000
Tc 0.250 0.250 0.750
Tc 0.250 0.750 0.250
Tc 0.750 0.250 0.250
Tc 0.750 0.750 0.750
Ni 0.250 0.250 0.250
Ni 0.250 0.750 0.750
Ni 0.750 0.250 0.750
Ni 0.750 0.750 0.250
W 0.000 0.000 0.500
W 0.000 0.500 0.000
W 0.500 0.000 0.000
W 0.500 0.500 0.500

=====

Entry 10:
Entry from OQMD via LeMat-Bulk: a geometry-optimized GaNiTe2 structure (PBE).

Summary:
Space-group type: F-43m, No. 216

Lattice parameters (Å, degrees): 7.047 7.047 7.047 90.00 90.00 90.00
Fractional positions:
Ga 0.000 0.000 0.000
Ga 0.000 0.500 0.500
Ga 0.500 0.000 0.500
Ga 0.500 0.500 0.000
Ni 0.250 0.250 0.750
Ni 0.250 0.750 0.250
Ni 0.750 0.250 0.250
Ni 0.750 0.750 0.750
Te 0.000 0.000 0.500
Te 0.000 0.500 0.000
Te 0.250 0.250 0.250
Te 0.250 0.750 0.750
Te 0.500 0.000 0.000
Te 0.500 0.500 0.500
Te 0.750 0.250 0.750
Te 0.750 0.750 0.250

=====

Entry 11:
Entry from OQMD via LeMat-Bulk: a geometry-optimized GaNi3Te2 structure (PBE).

Summary:
Space-group type: P6_3/mmc, No. 194

Lattice parameters (Å, degrees): 3.982 3.982 16.060 90.00 90.00 120.00
Fractional positions:
Ga 0.333 0.667 0.250
Ga 0.667 0.333 0.750
Ni 0.000 0.000 0.167
Ni 0.000 0.000 0.333
Ni 0.000 0.000 0.667
Ni 0.000 0.000 0.833
Ni 0.333 0.667 0.750
Ni 0.667 0.333 0.250
Te 0.333 0.667 0.592
Te 0.333 0.667 0.908
Te 0.667 0.333 0.092
Te 0.667 0.333 0.408

=====

Entry 12:
Entry from OQMD via LeMat-Bulk: a geometry-optimized Tl2GaNi structure (PBE).

Summary:
Space-group type: F-43m, No. 216

Lattice parameters (Å, degrees): 7.048 7.048 7.048 90.00 90.00 90.00
Fractional positions:
Tl 0.000 0.000 0.000
Tl 0.000 0.500 0.500
Tl 0.250 0.250 0.250
Tl 0.250 0.750 0.750
Tl 0.500 0.000 0.500
Tl 0.500 0.500 0.000
Tl 0.750 0.250 0.750
Tl 0.750 0.750 0.250
Ga 0.000 0.000 0.500
Ga 0.000 0.500 0.000
Ga 0.500 0.000 0.000
Ga 0.500 0.500 0.500
Ni 0.250 0.250 0.750
Ni 0.250 0.750 0.250
Ni 0.750 0.250 0.250
Ni 0.750 0.750 0.750

=====

Record-wise raw total energy values, in eV per atom: -5.0127; -4.4577; -5.2552; -4.9477; -7.3399; -6.1914; -5.3994; -5.9004; -7.9870; -3.2472; -4.6496; -2.9223